VASP calculation (GGA-PBE) on a relaxed structure of TbThScZn.

Structure (extended XYZ):
```
4
Lattice="3.499 0.000 0.000 0.000 3.499 0.000 0.000 0.000 8.273" Properties=species:S:1:pos:R:3 pbc="T T T"
Zn 0.000 0.000 4.557
Sc 1.749 1.749 3.017
Th 0.000 0.000 0.719
Tb 1.749 1.749 6.474
```

Summary:
The volume comes out at 101.3 Å³ per cell. For the energy above the lowest structure with this stoichiometry, the calculation gives 0 meV per atom. As for the space-group type: P4mm (99).